Entry 1:
DFT (PBE-GGA) results for crystalline CaTlTe2 at its relaxed geometry.

* SG: P4/mmm, No. 123
* ρ: 6.2 Mg/m³
* magnetic moment: 0.000 μB/atom
* formation energy without anion corrections: -871 meV per atom

POSCAR file:
```
CaTlTe2
1.0
-6.189 1.810 1.175
-1.328 -4.296 -0.379
0.665 -0.595 4.421
Tl Te Ca
1 2 1
Direct
0.000 0.374 0.375
0.000 0.875 0.875
0.500 0.375 0.375
0.500 0.875 0.875
```

Entry 2:
DFT (PBE-GGA) results for crystalline MnIn2Re at its relaxed geometry.

* polymorph energy (0 for the lowest one): 0.255 eV/atom
* SG: C2/m, No. 12
* ρ: 10.9 Mg/m³
* magnetic moment: 0.872 μB/atom

POSCAR file:
```
MnIn2Re
1.0
4.919 0.021 -0.040
4.013 2.845 -0.040
0.890 0.285 5.159
In Mn Re
2 1 1
Direct
0.999 0.999 0.001
0.501 0.501 0.499
0.750 0.750 0.750
0.250 0.250 0.250
```

Entry 3:
DFT (PBE-GGA) results for crystalline BaTaSi3 at its relaxed geometry.

* polymorph energy (0 for the lowest one): 0.000 eV/atom
* SG: Pm-3m, No. 221
* ρ: 5.5 Mg/m³
* magnetic moment: 0.000 μB/atom
* formation energy without anion corrections: -75 meV per atom

POSCAR file:
```
BaTaSi3
1.0
-4.075 -1.041 2.639
2.831 -1.797 3.662
0.188 4.510 2.068
Si Ba Ta
3 1 1
Direct
0.000 0.500 0.000
0.000 0.000 0.500
0.500 0.000 0.000
0.500 0.500 0.500
0.000 0.000 0.000
```

Entry 4:
DFT (PBE-GGA) results for crystalline Sr2LiAgH at its relaxed geometry.

* polymorph energy (0 for the lowest one): 0.125 eV/atom
* SG: P4/mmm, No. 123
* ρ: 3.8 Mg/m³
* magnetic moment: 0.000 μB/atom

POSCAR file:
```
Sr2LiAgH
1.0
-4.788 -2.791 -0.263
0.451 -0.254 -5.524
2.074 -3.589 0.334
Sr H Ag Li
2 1 1 1
Direct
0.000 0.500 0.000
0.500 0.000 0.000
0.000 0.000 0.000
0.000 0.000 0.500
0.500 0.500 0.500
```

Entry 5:
DFT (PBE-GGA) results for crystalline TcIrRh2 at its relaxed geometry.

* polymorph energy (0 for the lowest one): 0.000 eV/atom
* SG: Pmm2, No. 25
* ρ: 14.4 Mg/m³
* magnetic moment: 0.000 μB/atom

POSCAR file:
```
TcIrRh2
1.0
-2.276 1.482 0.135
-1.885 -3.029 1.489
1.353 1.622 5.015
Ir Rh Tc
1 2 1
Direct
0.500 0.500 0.745
0.000 0.000 0.000
0.500 0.500 0.252
0.000 0.000 0.502
```

Entry 6:
DFT (PBE-GGA) results for crystalline NbFeSn2N at its relaxed geometry.

* SG: P4/mmm, No. 123
* ρ: 7.1 Mg/m³
* magnetic moment: 0.481 μB/atom
* formation energy without anion corrections: 507 meV per atom

POSCAR file:
```
NbFeSn2N
1.0
5.303 0.000 0.000
0.000 3.344 0.000
0.000 0.000 5.303
Nb N Sn Fe
1 1 2 1
Direct
0.500 0.500 0.500
0.000 0.500 0.000
0.000 0.000 0.500
0.500 0.000 0.000
0.000 0.000 0.000
```

Entry 7:
DFT (PBE-GGA) results for crystalline BaAlPt at its relaxed geometry.

* E_tot: -3.9139 eV per atom
* SG: F-43m, No. 216
* ρ: 7.1 Mg/m³
* magnetic moment: 0.000 μB/atom

POSCAR file:
```
BaAlPt
1.0
-3.361 -2.243 2.795
-3.806 -2.293 -2.098
-0.256 -4.906 0.073
Ba Pt Al
1 1 1
Direct
0.000 0.000 0.000
0.500 0.500 0.500
0.750 0.750 0.750
```

Entry 8:
DFT (PBE-GGA) results for crystalline Mg4BiSb at its relaxed geometry.

* SG: P4/mmm, No. 123
* ρ: 4.1 Mg/m³
* magnetic moment: 0.000 μB/atom
* formation energy without anion corrections: -114 meV per atom

POSCAR file:
```
Mg4BiSb
1.0
4.672 -0.465 0.000
0.465 4.672 0.000
0.000 0.000 7.877
Mg Bi Sb
4 1 1
Direct
0.500 0.000 0.243
0.000 0.500 0.243
0.000 0.500 0.757
0.500 0.000 0.757
0.500 0.500 0.500
0.000 0.000 0.000
```